1.
A plane-wave DFT calculation with PBE was carried out for DyTm5Sb6 after structural relaxation.

Summary:
Uncorrected formation energy ... -24.9 kcal/mol of atoms
Spin magnetization ... 0.000 μB per formula unit
Fermi-level density of states ... 0.16 states/eV per atom

Cell: 7.527 13.036 7.525 Å, 90.00 109.47 90.00°
Space group C2/m (No. 12)
Inequivalent atoms, fractional coordinates:
1 Dy 0.000 0.000 0.000 (multiplicity 2)
2 Tm 0.000 0.166 0.500 (multiplicity 4)
3 Tm 0.000 0.333 0.000 (multiplicity 4)
4 Tm 0.000 0.500 0.500 (multiplicity 2)
5 Sb 0.248 0.332 0.748 (multiplicity 8)
6 Sb 0.248 0.500 0.250 (multiplicity 4)

2.
A plane-wave DFT calculation with PBE was carried out for DyTmSb after structural relaxation.

Summary:
Uncorrected formation energy ... -14.1 kcal/mol of atoms
Spin magnetization ... 0.983 μB per formula unit
Fermi-level density of states ... 0.70 states/eV per atom

Cell: 3.937 3.937 10.634 Å, 90.00 90.00 90.00°
Space group I4mm (No. 107)
Inequivalent atoms, fractional coordinates:
1 Dy 0.000 0.000 0.000 (multiplicity 2)
2 Tm 0.000 0.000 0.691 (multiplicity 2)
3 Sb 0.000 0.000 0.342 (multiplicity 2)

3.
A plane-wave DFT calculation with PBE was carried out for DyTm3Sb2 after structural relaxation.

Summary:
Uncorrected formation energy ... -15.0 kcal/mol of atoms
Spin magnetization ... 0.000 μB per formula unit
Fermi-level density of states ... 0.94 states/eV per atom

Cell: 18.024 4.245 9.645 Å, 90.00 113.56 90.00°
Space group C2/m (No. 12)
Inequivalent atoms, fractional coordinates:
1 Dy 0.110 0.000 0.115 (multiplicity 4)
2 Tm 0.056 0.000 0.674 (multiplicity 4)
3 Tm 0.142 0.500 0.477 (multiplicity 4)
4 Tm 0.188 0.500 0.892 (multiplicity 4)
5 Sb 0.010 0.500 0.845 (multiplicity 4)
6 Sb 0.250 0.000 0.719 (multiplicity 4)

4.
A plane-wave DFT calculation with PBE was carried out for Dy3Tm2Sb3 after structural relaxation.

Summary:
Uncorrected formation energy ... -20.9 kcal/mol of atoms
Spin magnetization ... 0.001 μB per formula unit
Fermi-level density of states ... 0.94 states/eV per atom

Cell: 8.9238 8.9238 6.2744 Å, 90.00 90.00 120.00°
Space group P6_3/mcm (No. 193)
Inequivalent atoms, fractional coordinates:
1 Dy 0.0000 0.2465 0.2500 (multiplicity 6)
2 Tm 0.3333 0.6667 0.0000 (multiplicity 4)
3 Sb 0.0000 0.3909 0.7500 (multiplicity 6)

5.
A plane-wave DFT calculation with PBE was carried out for Dy4Tm3Sb4 after structural relaxation.

Summary:
Uncorrected formation energy ... -16.7 kcal/mol of atoms
Spin magnetization ... 0.001 μB per formula unit
Fermi-level density of states ... 0.97 states/eV per atom

Cell: 3.989 9.095 17.259 Å, 90.00 90.00 90.00°
Space group Immm (No. 71)
Inequivalent atoms, fractional coordinates:
1 Dy 0.000 0.182 0.168 (multiplicity 8)
2 Tm 0.000 0.000 0.401 (multiplicity 4)
3 Tm 0.000 0.500 0.500 (multiplicity 2)
4 Sb 0.000 0.294 0.000 (multiplicity 4)
5 Sb 0.000 0.500 0.232 (multiplicity 4)

6.
A plane-wave DFT calculation with PBE was carried out for Dy5TmSb6 after structural relaxation.

Summary:
Uncorrected formation energy ... -25.9 kcal/mol of atoms
Spin magnetization ... 0.000 μB per formula unit
Fermi-level density of states ... 0.17 states/eV per atom

Cell: 7.581 13.129 7.578 Å, 90.00 109.48 90.00°
Space group C2/m (No. 12)
Inequivalent atoms, fractional coordinates:
1 Dy 0.000 0.000 0.000 (multiplicity 2)
2 Dy 0.000 0.166 0.500 (multiplicity 4)
3 Dy 0.000 0.333 0.000 (multiplicity 4)
4 Tm 0.000 0.500 0.500 (multiplicity 2)
5 Sb 0.248 0.500 0.251 (multiplicity 4)
6 Sb 0.249 0.334 0.749 (multiplicity 8)

7.
A plane-wave DFT calculation with PBE was carried out for Dy2Tm5Sb5 after structural relaxation.

Summary:
Uncorrected formation energy ... -18.1 kcal/mol of atoms
Spin magnetization ... 0.000 μB per formula unit
Fermi-level density of states ... 0.65 states/eV per atom

Cell: 14.021 4.304 12.443 Å, 90.00 109.09 90.00°
Space group C2/m (No. 12)
Inequivalent atoms, fractional coordinates:
1 Dy 0.043 0.000 0.283 (multiplicity 4)
2 Tm 0.000 0.500 0.000 (multiplicity 2)
3 Tm 0.160 0.500 0.535 (multiplicity 4)
4 Tm 0.218 0.500 0.840 (multiplicity 4)
5 Sb 0.000 0.000 0.500 (multiplicity 2)
6 Sb 0.122 0.000 0.938 (multiplicity 4)
7 Sb 0.199 0.500 0.293 (multiplicity 4)

8.
A plane-wave DFT calculation with PBE was carried out for Dy2Tm5Sb4 after structural relaxation.

Summary:
Uncorrected formation energy ... -9.5 kcal/mol of atoms
Spin magnetization ... 0.001 μB per formula unit
Fermi-level density of states ... 1.02 states/eV per atom

Cell: 25.632 3.618 7.210 Å, 90.00 91.40 90.00°
Space group C2/m (No. 12)
Inequivalent atoms, fractional coordinates:
1 Dy 0.236 0.000 0.280 (multiplicity 4)
2 Tm 0.000 0.500 0.500 (multiplicity 2)
3 Tm 0.089 0.000 0.197 (multiplicity 4)
4 Tm 0.141 0.000 0.659 (multiplicity 4)
5 Sb 0.033 0.000 0.816 (multiplicity 4)
6 Sb 0.171 0.500 0.000 (multiplicity 4)

9.
A plane-wave DFT calculation with PBE was carried out for Dy3TmSb2 after structural relaxation.

Summary:
Uncorrected formation energy ... -18.3 kcal/mol of atoms
Spin magnetization ... 0.000 μB per formula unit
Fermi-level density of states ... 0.74 states/eV per atom

Cell: 4.457 4.457 8.443 Å, 90.00 90.00 90.00°
Space group P-4m2 (No. 115)
Inequivalent atoms, fractional coordinates:
1 Dy 0.000 0.000 0.000 (multiplicity 1)
2 Dy 0.000 0.500 0.650 (multiplicity 2)
3 Tm 0.500 0.500 0.000 (multiplicity 1)
4 Sb 0.000 0.500 0.280 (multiplicity 2)

10.
A plane-wave DFT calculation with PBE was carried out for DyY3Tm2Sb6 after structural relaxation.

Summary:
Uncorrected formation energy ... -26.0 kcal/mol of atoms
Spin magnetization ... 0.000 μB per formula unit
Fermi-level density of states ... 0.18 states/eV per atom

Cell: 7.574 13.120 7.569 Å, 90.00 109.46 90.00°
Space group C2/m (No. 12)
Inequivalent atoms, fractional coordinates:
1 Dy 0.000 0.000 0.000 (multiplicity 2)
2 Y 0.000 0.166 0.500 (multiplicity 4)
3 Y 0.000 0.500 0.500 (multiplicity 2)
4 Tm 0.000 0.333 0.000 (multiplicity 4)
5 Sb 0.247 0.500 0.247 (multiplicity 4)
6 Sb 0.250 0.168 0.247 (multiplicity 8)

11.
A plane-wave DFT calculation with PBE was carried out for Dy5USb6 after structural relaxation.

Summary:
Uncorrected formation energy ... -22.3 kcal/mol of atoms
Spin magnetization ... 2.472 μB per formula unit
Fermi-level density of states ... 0.88 states/eV per atom

Cell: 7.589 13.162 7.593 Å, 90.00 109.47 90.00°
Space group C2/m (No. 12)
Inequivalent atoms, fractional coordinates:
1 Dy 0.000 0.000 0.000 (multiplicity 2)
2 Dy 0.000 0.166 0.500 (multiplicity 4)
3 Dy 0.000 0.333 0.000 (multiplicity 4)
4 U 0.000 0.500 0.500 (multiplicity 2)
5 Sb 0.249 0.500 0.251 (multiplicity 4)
6 Sb 0.250 0.166 0.250 (multiplicity 8)

12.
A plane-wave DFT calculation with PBE was carried out for DyUSb2 after structural relaxation.

Summary:
Uncorrected formation energy ... -15.2 kcal/mol of atoms
Spin magnetization ... 2.668 μB per formula unit
Fermi-level density of states ... 0.92 states/eV per atom

Cell: 4.3328 4.3328 21.9086 Å, 90.00 90.00 120.00°
Space group R-3m (No. 166, hexagonal axes)
Inequivalent atoms, fractional coordinates:
1 Dy 0.0000 0.0000 0.0000 (multiplicity 3)
2 U 0.0000 0.0000 0.5000 (multiplicity 3)
3 Sb 0.0000 0.0000 0.2505 (multiplicity 6)

13.
A plane-wave DFT calculation with PBE was carried out for DyUSb2 after structural relaxation.

Summary:
Uncorrected formation energy ... -12.5 kcal/mol of atoms
Spin magnetization ... 2.836 μB per formula unit
Fermi-level density of states ... 1.34 states/eV per atom

Cell: 4.3010 4.3010 22.6583 Å, 90.00 90.00 120.00°
Space group R3m (No. 160, hexagonal axes)
Inequivalent atoms, fractional coordinates:
1 Dy 0.0000 0.0000 0.0000 (multiplicity 3)
2 U 0.0000 0.0000 0.8291 (multiplicity 3)
3 Sb 0.0000 0.0000 0.2469 (multiplicity 3)
4 Sb 0.0000 0.0000 0.4154 (multiplicity 3)

14.
A plane-wave DFT calculation with PBE was carried out for DyUSb2 after structural relaxation.

Summary:
Uncorrected formation energy ... 4.8 kcal/mol of atoms
Spin magnetization ... 2.020 μB per formula unit
Fermi-level density of states ... 2.26 states/eV per atom

Cell: 4.1110 4.1110 29.5055 Å, 90.00 90.00 120.00°
Space group R-3m (No. 166, hexagonal axes)
Inequivalent atoms, fractional coordinates:
1 Dy 0.0000 0.0000 0.0000 (multiplicity 3)
2 U 0.0000 0.0000 0.5000 (multiplicity 3)
3 Sb 0.0000 0.0000 0.1014 (multiplicity 6)

15.
A plane-wave DFT calculation with PBE was carried out for DyUSb2 after structural relaxation.

Summary:
Uncorrected formation energy ... -10.8 kcal/mol of atoms
Spin magnetization ... 2.919 μB per formula unit
Fermi-level density of states ... 1.40 states/eV per atom

Cell: 5.281 5.281 3.789 Å, 90.00 90.00 90.00°
Space group P4/mmm (No. 123)
Inequivalent atoms, fractional coordinates:
1 Dy 0.000 0.000 0.000 (multiplicity 1)
2 U 0.500 0.500 0.000 (multiplicity 1)
3 Sb 0.000 0.500 0.500 (multiplicity 2)

16.
A plane-wave DFT calculation with PBE was carried out for DyVSb3 after structural relaxation.

Summary:
Uncorrected formation energy ... -11.6 kcal/mol of atoms
Spin magnetization ... 0.493 μB per formula unit
Fermi-level density of states ... 0.50 states/eV per atom

Cell: 12.763 6.310 5.950 Å, 90.00 90.00 90.00°
Space group Pbcm (No. 57)
Inequivalent atoms, fractional coordinates:
1 Dy 0.188 0.003 0.250 (multiplicity 4)
2 V 0.400 0.750 0.000 (multiplicity 4)
3 Sb 0.002 0.750 0.000 (multiplicity 4)
4 Sb 0.273 0.007 0.750 (multiplicity 4)
5 Sb 0.434 0.104 0.250 (multiplicity 4)

17.
A plane-wave DFT calculation with PBE was carried out for DyVSb2 after structural relaxation.

Summary:
Uncorrected formation energy ... -10.2 kcal/mol of atoms
Spin magnetization ... 2.026 μB per formula unit
Fermi-level density of states ... 1.05 states/eV per atom

Cell: 4.1991 4.1991 19.7495 Å, 90.00 90.00 120.00°
Space group R-3m (No. 166, hexagonal axes)
Inequivalent atoms, fractional coordinates:
1 Dy 0.0000 0.0000 0.0000 (multiplicity 3)
2 V 0.0000 0.0000 0.5000 (multiplicity 3)
3 Sb 0.0000 0.0000 0.2375 (multiplicity 6)

18.
A plane-wave DFT calculation with PBE was carried out for DyY3Sb2 after structural relaxation.

Summary:
Uncorrected formation energy ... -13.7 kcal/mol of atoms
Spin magnetization ... 0.445 μB per formula unit
Fermi-level density of states ... 1.25 states/eV per atom

Cell: 7.035 14.399 7.599 Å, 90.00 90.00 90.00°
Space group Ibam (No. 72)
Inequivalent atoms, fractional coordinates:
1 Dy 0.000 0.000 0.000 (multiplicity 4)
2 Y 0.000 0.207 0.250 (multiplicity 8)
3 Y 0.000 0.500 0.250 (multiplicity 4)
4 Sb 0.175 0.353 0.000 (multiplicity 8)

19.
A plane-wave DFT calculation with PBE was carried out for DyYSb after structural relaxation.

Summary:
Uncorrected formation energy ... -14.9 kcal/mol of atoms
Spin magnetization ... 0.999 μB per formula unit
Fermi-level density of states ... 0.77 states/eV per atom

Cell: 3.978 3.978 10.630 Å, 90.00 90.00 90.00°
Space group I4mm (No. 107)
Inequivalent atoms, fractional coordinates:
1 Dy 0.000 0.000 0.000 (multiplicity 2)
2 Y 0.000 0.000 0.309 (multiplicity 2)
3 Sb 0.000 0.000 0.654 (multiplicity 2)

20.
A plane-wave DFT calculation with PBE was carried out for DyY3Sb3 after structural relaxation.

Summary:
Uncorrected formation energy ... -23.5 kcal/mol of atoms
Spin magnetization ... 0.000 μB per formula unit
Fermi-level density of states ... 1.01 states/eV per atom

Cell: 9.208 9.208 9.208 Å, 90.00 90.00 90.00°
Space group P2_13 (No. 198)
Inequivalent atoms, fractional coordinates:
1 Dy 0.072 0.428 0.572 (multiplicity 4)
2 Y 0.072 0.572 0.928 (multiplicity 4)
3 Y 0.178 0.178 0.178 (multiplicity 4)
4 Y 0.178 0.822 0.322 (multiplicity 4)
5 Sb 0.000 0.250 0.875 (multiplicity 12)